# 1
First-principles (PBE-GGA) data for a relaxed structure of BeCuBr2, as listed in Alexandria.

Values from the calculation:
Space group: Cmm2
Energy relative to the lowest polymorph listed for this composition in meV per atom: 154

Cell: 4.2655 4.2655 8.7399 Å, 90.00 90.00 134.59°
Fractional positions:
1 Be 0.0000 0.0000 0.0000
2 Cu 0.5000 0.5000 0.1985
3 Br 0.0000 0.0000 0.3973
4 Br 0.5000 0.5000 0.8343

# 2
First-principles (PBE-GGA) data for a relaxed structure of BeCuBr2, as listed in Alexandria.

Values from the calculation:
Space group: R-3m
Energy relative to the lowest polymorph listed for this composition in meV per atom: 166

Cell: 10.4245 10.4245 10.4245 Å, 18.53 18.53 18.53°
Fractional positions:
1 Be 0.0000 0.0000 0.0000
2 Cu 0.5000 0.5000 0.5000
3 Br 0.3788 0.3788 0.3788
4 Br 0.6212 0.6212 0.6212

# 3
First-principles (PBE-GGA) data for a relaxed structure of BeCuBr3, as listed in Alexandria.

Values from the calculation:
Final energy in eV per atom: -2.5420
Space group: Pm-3m

Cell: 4.8509 4.8509 4.8509 Å, 90.00 90.00 90.00°
Fractional positions:
1 Be 0.0000 0.0000 0.0000
2 Cu 0.5000 0.5000 0.5000
3 Br 0.0000 0.0000 0.5000
4 Br 0.0000 0.5000 0.0000
5 Br 0.5000 0.0000 0.0000

# 4
First-principles (PBE-GGA) data for a relaxed structure of BeCu2Br, as listed in Alexandria.

Values from the calculation:
Space group: F-43m
Energy relative to the lowest polymorph listed for this composition in meV per atom: 732

Cell: 4.3991 4.3991 4.3991 Å, 60.00 60.00 60.00°
Fractional positions:
1 Be 0.0000 0.0000 0.0000
2 Cu 0.2500 0.2500 0.2500
3 Cu 0.5000 0.5000 0.5000
4 Br 0.7500 0.7500 0.7500

# 5
First-principles (PBE-GGA) data for a relaxed structure of BeCu2Br, as listed in Alexandria.

Values from the calculation:
Space group: Pm
Energy relative to the lowest polymorph listed for this composition in meV per atom: 40

Cell: 3.3228 3.1564 6.1910 Å, 90.00 90.34 90.00°
Fractional positions:
1 Be 0.0000 0.0000 0.0000
2 Cu 0.0027 0.0000 0.3411
3 Cu 0.5011 0.5000 0.1721
4 Br 0.9981 0.5000 0.7412

# 6
First-principles (PBE-GGA) data for a relaxed structure of BeCuBr2, as listed in Alexandria.

Values from the calculation:
Space group: Cm
Energy relative to the lowest polymorph listed for this composition in meV per atom: 13

Cell: 5.4876 5.4876 6.2382 Å, 98.95 98.95 36.41°
Fractional positions:
1 Be 0.0000 0.0000 0.0000
2 Cu 0.6408 0.6408 0.9041
3 Br 0.5117 0.5117 0.2355
4 Br 0.8367 0.8367 0.7499